Below is Sr2Ta3 after structural relaxation, with properties calculated at the PBE-GGA level.

Lattice parameters (Å, degrees): 9.863 9.104 6.075 78.26 64.65 37.09
Element x y z (fractional)
1 Ta 0.115 0.385 0.385
2 Ta 0.454 0.290 0.374
3 Ta 0.881 0.374 0.290
4 Ta 0.960 0.796 0.369
5 Ta 0.876 0.369 0.796
6 Ta 0.865 0.135 0.135
7 Sr 0.441 0.959 0.741
8 Sr 0.291 0.809 0.391
9 Sr 0.859 0.741 0.959
10 Sr 0.509 0.391 0.809

Output
DFT formation energy = 0.922 eV/atom
density of states at the Fermi level = 6.60 states/eV/f.u.

***

Below is SrTa after structural relaxation, with properties calculated at the PBE-GGA level.

Lattice parameters (Å, degrees): 3.005 3.005 5.646 90.00 90.00 90.00
Element x y z (fractional)
1 Ta 0.500 0.500 0.500
2 Sr 0.000 0.000 0.000

Output
DFT formation energy = 1.175 eV/atom
density of states at the Fermi level = 3.35 states/eV/f.u.

***

Among the records above, which one has the highest DFT formation energy? SrTa

***

Which of these has the highest density of states at the Fermi level? Sr2Ta3

***

Look up the DFT formation energy of the second one. 1.175 eV/atom

***

Which of these has the lowest density of states at the Fermi level? SrTa